(1)
# BeAsPdSe2

A relaxed structure of BeAsPdSe2 (PBEsol, Alexandria via LeMat-Bulk).

Cell lengths 4.516, 4.516, 4.278 Å; angles 90.00, 90.00, 90.00 degrees
Fractional positions:
Be  0.000  0.000  0.000
As  0.000  0.000  0.500
Pd  0.500  0.500  0.500
Se  0.000  0.500  0.000
Se  0.500  0.000  0.000

Calculated values
- E_tot (eV/atom) = -4.11
- space-group type = P4/mmm
- formation energy from raw total energies (meV per atom) = 446.0

---

(2)
# CaZrTeN2

A relaxed structure of CaZrTeN2 (PBEsol, Alexandria via LeMat-Bulk).

Cell lengths 4.227, 4.227, 5.857 Å; angles 90.00, 90.00, 90.00 degrees
Fractional positions:
Ca  0.000  0.000  0.000
Zr  0.500  0.500  0.500
Te  0.500  0.500  0.000
N  0.000  0.500  0.500
N  0.500  0.000  0.500

Calculated values
- E_tot (eV/atom) = -6.75
- energy relative to the lowest polymorph listed for this composition (eV/atom) = 0.000
- space-group type = P4/mmm
- formation energy from raw total energies (meV per atom) = -388.1

---

DOS at the Fermi energy values, unit states/eV/f.u., following the record order: 3.5; 3.6.